Computed, not measured: an optimized crystal structure of CaCr3Sb at the PBE level of DFT.

Cell lengths 5.0630, 5.0630, 5.0630 Å; angles 90.00, 90.00, 90.00 degrees
Fractional positions:
Ca 0.0000 0.0000 0.0000
Cr 0.0000 0.0000 0.5000
Cr 0.0000 0.5000 0.0000
Cr 0.5000 0.0000 0.0000
Sb 0.5000 0.5000 0.5000

Properties
**E_form (uncorrected)**: 9.5 eV per formula unit
**Symmetry**: Pm-3m (221)
**Magnetization**: 12.94 Bohr magnetons per cell